Here is Pr2TlOs after structural relaxation from Alexandria via LeMat-Bulk. Energies are from PBE.

a b c (Å): 3.5227 3.5227 8.6727
angles (deg): 90.00 90.00 90.00
Closest atoms and distances in Å follow each position.
Fractional coordinates of all 4 atoms:
Pr1 0.0000 0.0000 0.2019  4 Os 3.04
Pr2 0.0000 0.0000 0.7981  4 Os 3.04
Tl1 0.5000 0.5000 0.5000  4 Tl 3.52, 8 Pr 3.59
Os1 0.5000 0.5000 0.0000  8 Pr 3.04

Results
SG: P4/mmm, No. 123
E_form: -0.131 eV per atom
Electronic total energy: -5.920 eV per atom
Theoretical density: 10437 kg/m3